Density functional theory data (PBE-GGA) for an optimized crystal structure of Mg7Sn2Bi.

Structure (POSCAR):
```
Mg7Sn2Bi
1.0
4.8376 0.0000 -0.9308
-0.1791 4.8343 -0.9308
-0.3290 -0.3415 11.3259
Mg Sn Bi
7 2 1
Direct
0.0939 0.5939 0.1878
0.4061 0.9061 0.8122
0.5939 0.0939 0.1878
0.5000 0.5000 0.0000
0.7500 0.2500 0.5000
0.9061 0.4061 0.8122
0.2500 0.7500 0.5000
0.6707 0.6707 0.3415
0.3293 0.3293 0.6585
0.0000 0.0000 0.0000
```

As for the energy relative to the elements: -83 kJ/mol of formula units. As for the calculated total energy: -2.391 eV per atom. Its space-group type is I4/mmm.

***

Density functional theory data (PBE-GGA) for an optimized crystal structure of MgSn2BiW.

Structure (POSCAR):
```
MgSn2BiW
1.0
-0.7140 -4.3027 -3.8668
4.8612 0.7652 -1.7490
2.0075 -3.8383 3.9003
Mg Bi W Sn
1 1 1 2
Direct
0.0000 0.5000 0.0000
0.0000 0.0000 0.0000
0.5000 0.5000 0.5000
0.0000 0.0000 0.5000
0.5000 0.0000 0.0000
```

As for the energy relative to the elements: 841 kJ/mol of formula units. As for the calculated total energy: -3.543 eV per atom. Its space-group type is P4/mmm.

***

Density functional theory data (PBE-GGA) for an optimized crystal structure of Mg2SnBiW.

Structure (POSCAR):
```
Mg2SnBiW
1.0
5.1502 0.0000 0.0000
0.0000 5.9977 0.0000
0.0000 0.0000 5.1502
Mg Bi W Sn
2 1 1 1
Direct
0.0000 0.0000 0.5000
0.5000 0.0000 0.0000
0.0000 0.5000 0.0000
0.5000 0.5000 0.5000
0.0000 0.0000 0.0000
```

As for the energy relative to the elements: 700 kJ/mol of formula units. As for the calculated total energy: -3.355 eV per atom. Its space-group type is P4/mmm.

***

Q: The highest calculated total energy belongs to which entry?
A: Mg7Sn2Bi